The following is a PBE calculation of Na3Sm3PuS8 after structural relaxation, from Alexandria.

a = 8.1360 Å, b = 8.1355 Å, c = 8.1884 Å
α = 119.81°, β = 90.00°, γ = 120.00°
Last column: nearest neighbours and their distance in Å.
Element x y z (fractional)
Na  0.0000  0.0000  0.0000  6 S 2.96-2.97
Na  0.0000  0.5000  0.0000  6 S 2.96-2.97
Na  0.5000  0.5000  0.0000  6 S 2.96-2.97
Sm  0.5000  0.0000  0.5000  6 S 2.81-2.82
Sm  0.5000  0.5000  0.5000  6 S 2.81-2.82
Sm  0.0000  0.5000  0.5000  6 S 2.81-2.82
Pu  0.0000  0.0000  0.5000  6 S 2.70
S  0.2563  0.5126  0.2691  3 Sm 2.81, 3 Na 2.96
S  0.7437  0.4874  0.7309  3 Sm 2.81, 3 Na 2.96
S  0.7660  0.5320  0.2792  1 Pu 2.70, 2 Sm 2.82, 2 Na 2.97
S  0.2340  0.4680  0.7208  1 Pu 2.70, 2 Sm 2.82, 2 Na 2.97
S  0.7660  0.0130  0.2792  1 Pu 2.70, 2 Sm 2.82, 2 Na 2.97
S  0.2340  0.9870  0.7208  1 Pu 2.70, 2 Sm 2.82, 2 Na 2.97
S  0.2470  0.0130  0.2792  1 Pu 2.70, 2 Sm 2.82, 2 Na 2.97
S  0.7530  0.9870  0.7208  1 Pu 2.70, 2 Sm 2.82, 2 Na 2.97

Values from the calculation:
- Density of states at the Fermi level: 0.761 states/eV per atom
- Total magnetization: 4.00 μB per cell
- Symmetry: No. 166
- Energy relative to the elements, uncorrected: -1.7137 eV per atom
- Crystal system: trigonal

***

The following is a PBE calculation of Na3SmPu2S6 after structural relaxation, from Alexandria.

a = 7.0216 Å, b = 7.0216 Å, c = 7.0473 Å
α = 99.56°, β = 99.56°, γ = 120.00°
Last column: nearest neighbours and their distance in Å.
Element x y z (fractional)
Na  0.1667  0.8333  0.5000  6 S 2.93-2.97
Na  0.8333  0.1667  0.5000  6 S 2.93-2.97
Na  0.5000  0.5000  0.5000  6 S 2.93-2.97
Sm  0.0000  0.0000  0.0000  6 S 2.81-2.82
Pu  0.3333  0.6667  0.0000  6 S 2.77-2.78
Pu  0.6667  0.3333  0.0000  6 S 2.77-2.78
S  0.9239  0.5863  0.7721  2 Pu 2.77-2.78, 1 Sm 2.81, 3 Na 2.93-2.97
S  0.7386  0.7386  0.2288  2 Pu 2.78, 1 Sm 2.82, 3 Na 2.93-2.97
S  0.0761  0.4137  0.2279  2 Pu 2.77-2.78, 1 Sm 2.81, 3 Na 2.93-2.97
S  0.5863  0.9239  0.7721  2 Pu 2.77-2.78, 1 Sm 2.81, 3 Na 2.93-2.97
S  0.2614  0.2614  0.7712  2 Pu 2.78, 1 Sm 2.82, 3 Na 2.93-2.97
S  0.4137  0.0761  0.2279  2 Pu 2.77-2.78, 1 Sm 2.81, 3 Na 2.93-2.97

Values from the calculation:
- Density of states at the Fermi level: 1.484 states/eV per atom
- Total magnetization: 10.00 μB per cell
- Symmetry: No. 12
- Energy relative to the elements, uncorrected: -1.6283 eV per atom
- Crystal system: monoclinic